[1]
A plane-wave DFT calculation with PBE-GGA was carried out for a relaxed structure of SrCoSb2Te.

Cell: 6.0188 6.0188 5.9719 Å, 90.00 90.00 90.00°
Last column: nearest neighbours and their distance in Å.
Sites, in units of the cell vectors:
Sr: 0.0000 0.0000 0.0000  2 Te 2.99, 4 Sb 3.01
Co: 0.5000 0.5000 0.5000  8 Sb 4.24, 4 Te 4.26
Sb: 0.0000 0.5000 0.0000  2 Sr 3.01
Sb: 0.5000 0.0000 0.0000  2 Sr 3.01
Te: 0.0000 0.0000 0.5000  2 Sr 2.99

Summary:
Energy above the most stable polymorph in this dataset, eV/atom: 1.5822

---

[2]
A plane-wave DFT calculation with PBE-GGA was carried out for a relaxed structure of MgVN2.

Cell: 5.7222 6.6269 5.1140 Å, 90.00 90.00 90.00°
Last column: nearest neighbours and their distance in Å.
Sites, in units of the cell vectors:
Mg: 0.0892 0.1220 0.0000  4 N 2.09-2.14
Mg: 0.4108 0.6220 0.5000  4 N 2.09-2.14
Mg: 0.5892 0.3780 0.0000  4 N 2.09-2.14
Mg: 0.9108 0.8780 0.5000  4 N 2.09-2.14
V: 0.0763 0.6255 0.0082  4 N 1.87-1.90
V: 0.4237 0.1255 0.5082  4 N 1.87-1.90
V: 0.5763 0.8745 0.0082  4 N 1.87-1.90
V: 0.9237 0.3745 0.5082  4 N 1.87-1.90
N: 0.0640 0.6088 0.3734  2 V 1.87-1.88, 2 Mg 2.09
N: 0.1031 0.1433 0.4182  2 V 1.89-1.90, 1 Mg 2.12
N: 0.3969 0.6433 0.9182  2 V 1.89-1.90, 1 Mg 2.12
N: 0.4360 0.1088 0.8734  2 V 1.87-1.88, 2 Mg 2.09
N: 0.5640 0.8912 0.3734  2 V 1.87-1.88, 2 Mg 2.09
N: 0.6031 0.3567 0.4182  2 V 1.89-1.90, 1 Mg 2.12
N: 0.8969 0.8567 0.9182  2 V 1.89-1.90, 1 Mg 2.12
N: 0.9360 0.3912 0.8734  2 V 1.87-1.88, 2 Mg 2.09

Summary:
Calculated total energy, eV for the cell shown: -123.75

---

[3]
A plane-wave DFT calculation with PBE-GGA was carried out for a relaxed structure of Ba3Tm2PaSb6.

Cell: 7.9496 7.9496 8.3234 Å, 99.16 99.16 120.03°
Last column: nearest neighbours and their distance in Å.
Sites, in units of the cell vectors:
Ba: 0.0000 0.0000 0.0000  6 Sb 3.51-3.54
Ba: 0.3317 0.6683 0.0000  6 Sb 3.51-3.53
Ba: 0.6683 0.3317 0.0000  6 Sb 3.51-3.53
Tm: 0.1663 0.8337 0.5000  6 Sb 3.12
Tm: 0.8337 0.1663 0.5000  6 Sb 3.12
Pa: 0.5000 0.5000 0.5000  6 Sb 3.09
Sb: 0.1015 0.4314 0.2934  1 Pa 3.09, 2 Tm 3.12
Sb: 0.2398 0.2398 0.7074  1 Pa 3.09, 2 Tm 3.12
Sb: 0.4314 0.1015 0.2934  1 Pa 3.09, 2 Tm 3.12
Sb: 0.5686 0.8985 0.7066  1 Pa 3.09, 2 Tm 3.12
Sb: 0.7602 0.7602 0.2926  1 Pa 3.09, 2 Tm 3.12
Sb: 0.8985 0.5686 0.7066  1 Pa 3.09, 2 Tm 3.12

Summary:
Calculated total energy, eV for the cell shown: -59.81

---

[4]
A plane-wave DFT calculation with PBE-GGA was carried out for a relaxed structure of PmHo2Pt.

Cell: 9.7413 9.7413 9.7413 Å, 22.65 22.65 22.65°
Last column: nearest neighbours and their distance in Å.
Sites, in units of the cell vectors:
Pm: 0.0000 0.0000 0.0000  6 Ho 3.74, 6 Pm 3.83
Ho: 0.2271 0.2271 0.2271  3 Pt 2.80
Ho: 0.7729 0.7729 0.7729  3 Pt 2.80
Pt: 0.5000 0.5000 0.5000  6 Ho 2.80

Summary:
Energy above the most stable polymorph in this dataset, eV/atom: 0.1820

---

Record-wise calculated volume values, in Å³ per atom: 43.27 12.12 35.97 30.06